The following is a DFT calculation (PBE with a Hubbard U) of a relaxed structure of NaNd2CoO5.

Results
**ρ**: 5.84 g cm⁻³
**Raw total energy**: -61.729 eV/f.u.

Cell lengths 6.7638, 6.7638, 5.5952 Å; angles 90.00, 90.00, 90.00 degrees
Atoms (fractional coordinates):
1 Na 0.0000 0.0000 0.0000
2 Na 0.5000 0.5000 0.0000
3 Nd 0.1775 0.3225 0.5000
4 Nd 0.3225 0.8225 0.5000
5 Nd 0.6775 0.1775 0.5000
6 Nd 0.8225 0.6775 0.5000
7 Co 0.0000 0.5000 0.0000
8 Co 0.5000 0.0000 0.0000
9 O 0.0000 0.0000 0.5000
10 O 0.1320 0.6320 0.2367
11 O 0.1320 0.6320 0.7633
12 O 0.3680 0.1320 0.2367
13 O 0.3680 0.1320 0.7633
14 O 0.5000 0.5000 0.5000
15 O 0.6320 0.8680 0.2367
16 O 0.6320 0.8680 0.7633
17 O 0.8680 0.3680 0.2367
18 O 0.8680 0.3680 0.7633